# CdAgTe, relaxed, DFT PBE-GGA
data_CdAgTe
_chemical_formula_sum 'Cd1 Ag1 Te1'
_symmetry_space_group_name_H-M 'P 1'
_symmetry_Int_Tables_number 1
_symmetry_space_group_name_Hall 'P 1'
_cell_length_a 7.2592
_cell_length_b 7.2592
_cell_length_c 7.2592
_cell_angle_alpha 154.14
_cell_angle_beta 154.14
_cell_angle_gamma 36.90
loop_
_atom_site_label
_atom_site_type_symbol
_atom_site_fract_x
_atom_site_fract_y
_atom_site_fract_z
Ag1 Ag 0.9895 0.9895 0.0000
Cd1 Cd 0.3541 0.3541 0.0000
Te1 Te 0.6565 0.6565 0.0000
# - Crystal system: tetragonal
# - Space-group type: I4mm
# - Total magnetization: 0.0000 μB/atom
# - ΔE_f (raw): 0.121 eV per atom